Record 1
# Mg2BeTeO6

Mg2BeTeO6 after structural relaxation (PBE-GGA, Alexandria via LeMat-Bulk).

Values from the calculation:
V: 118 Å³ per cell
energy: -56.0 eV/f.u.
formation energy (no corrections): -1.62 eV per atom

Cell and atoms, written as CIF:
```
data_Mg2BeTeO6
_chemical_formula_sum 'Mg2 Be1 Te1 O6'
_symmetry_space_group_name_H-M 'P 4 m m'
_symmetry_Int_Tables_number 99
_symmetry_space_group_name_Hall 'P 4 -2'
_cell_length_a 5.000
_cell_length_b 5.000
_cell_length_c 4.707
_cell_angle_alpha 90.00
_cell_angle_beta 90.00
_cell_angle_gamma 90.00
loop_
_atom_site_label
_atom_site_type_symbol
_atom_site_fract_x
_atom_site_fract_y
_atom_site_fract_z
Mg1 Mg 0.000 0.500 0.000
Be1 Be 0.000 0.000 0.579
Te1 Te 0.500 0.500 0.620
O1 O 0.000 0.000 0.255
O2 O 0.246 0.246 0.754
O3 O 0.500 0.500 0.225
```



Record 2
# Ca2AlAg

Ca2AlAg after structural relaxation (PBE-GGA, Alexandria via LeMat-Bulk).

Values from the calculation:
V: 102 Å³ per cell
energy: -11.5 eV/f.u.
ΔE_f: -237 meV/atom

Cell and atoms, written as CIF:
```
data_Ca2AlAg
_chemical_formula_sum 'Ca2 Al1 Ag1'
_symmetry_space_group_name_H-M 'P 4/m m m'
_symmetry_Int_Tables_number 123
_symmetry_space_group_name_Hall '-P 4 2'
_cell_length_a 3.714
_cell_length_b 3.714
_cell_length_c 7.429
_cell_angle_alpha 90.00
_cell_angle_beta 90.00
_cell_angle_gamma 90.00
loop_
_atom_site_label
_atom_site_type_symbol
_atom_site_fract_x
_atom_site_fract_y
_atom_site_fract_z
Ca1 Ca 0.000 0.000 0.250
Al1 Al 0.500 0.500 0.000
Ag1 Ag 0.500 0.500 0.500
```



Which value of V does entry 1 give? 118 Å³ per cell



Look up the energy of the first one. -56.0 eV/f.u.



Which of these has the highest V? Mg2BeTeO6